Record 1
DFT (SCAN) results for a crystal of ReAgIr2 relaxed with PBEsol.

a = 4.708 Å, b = 4.708 Å, c = 4.708 Å
α = 130.99°, β = 130.99°, γ = 71.84°
Atoms (fractional coordinates):
Re  0.000  0.000  0.000
Ag  0.500  0.500  0.000
Ir  0.250  0.750  0.500
Ir  0.750  0.250  0.500

Calculated values
* ΔE_f: 1.307 eV/f.u.
* calculated total energy: -243.4 eV for the cell shown
* offset from the most stable computed form: 0.302 eV per atom
* M_tot: 0.004 μB per formula unit


Record 2
DFT (SCAN) results for a crystal of ZnH3F relaxed with PBEsol.

a = 3.347 Å, b = 3.347 Å, c = 3.347 Å
α = 90.00°, β = 90.00°, γ = 90.00°
Atoms (fractional coordinates):
Zn  0.000  0.000  0.000
H  0.000  0.000  0.500
H  0.000  0.500  0.000
H  0.500  0.000  0.000
F  0.500  0.500  0.500

Calculated values
* calculated total energy: -25.8 eV for the cell shown
* offset from the most stable computed form: 0.972 eV per atom
* M_tot: 0.303 μB per formula unit


Record 3
DFT (SCAN) results for a crystal of TaTeN2Cl relaxed with PBEsol.

a = 3.942 Å, b = 3.942 Å, c = 4.898 Å
α = 90.00°, β = 90.00°, γ = 90.00°
Atoms (fractional coordinates):
Ta  0.000  0.000  0.000
Te  0.500  0.500  0.000
N  0.000  0.500  0.500
N  0.500  0.000  0.500
Cl  0.500  0.500  0.500

Calculated values
* calculated total energy: -118.3 eV for the cell shown
* M_tot: 0.002 μB per formula unit
* raw formation energy: 2421 meV/atom


Record 4
DFT (SCAN) results for a crystal of BaScSi2 relaxed with PBEsol.

a = 3.791 Å, b = 6.717 Å, c = 6.717 Å
α = 36.31°, β = 90.00°, γ = 90.00°
Atoms (fractional coordinates):
Ba  0.000  0.000  0.000
Sc  0.500  0.738  0.738
Si  0.000  0.259  0.259
Si  0.500  0.377  0.377

Calculated values
* calculated total energy: -75.6 eV for the cell shown
* offset from the most stable computed form: 0.000 eV per atom
* M_tot: 0.001 μB per formula unit
* raw formation energy: -437 meV/atom


Record 5
DFT (SCAN) results for a crystal of NiHgW2 relaxed with PBEsol.

a = 2.752 Å, b = 2.752 Å, c = 7.984 Å
α = 90.00°, β = 90.00°, γ = 90.00°
Atoms (fractional coordinates):
Ni  0.000  0.000  0.000
Hg  0.000  0.000  0.500
W  0.500  0.500  0.217
W  0.500  0.500  0.783

Calculated values
* ΔE_f: 2.043 eV/f.u.
* calculated total energy: -221.7 eV for the cell shown
* M_tot: 0.001 μB per formula unit


Record 6
DFT (SCAN) results for a crystal of Sb2Te3 relaxed with PBEsol.

a = 3.276 Å, b = 3.276 Å, c = 15.676 Å
α = 90.00°, β = 90.00°, γ = 120.00°
Atoms (fractional coordinates):
Sb  0.000  0.000  0.201
Sb  0.000  0.000  0.799
Te  0.000  0.000  0.000
Te  0.000  0.000  0.392
Te  0.000  0.000  0.608

Calculated values
* calculated total energy: -185.5 eV for the cell shown
* M_tot: 0.000 μB per formula unit
* raw formation energy: 164 meV/atom


Record 7
DFT (SCAN) results for a crystal of NbInHg2S relaxed with PBEsol.

a = 4.974 Å, b = 4.974 Å, c = 5.075 Å
α = 90.00°, β = 90.00°, γ = 90.00°
Atoms (fractional coordinates):
Nb  0.000  0.000  0.000
In  0.500  0.500  0.000
Hg  0.000  0.500  0.500
Hg  0.500  0.000  0.500
S  0.500  0.500  0.500

Calculated values
* calculated total energy: -207.4 eV for the cell shown
* M_tot: 3.497 μB per formula unit
* raw formation energy: 1011 meV/atom


Record 8
DFT (SCAN) results for a crystal of Li2TaOs relaxed with PBEsol.

a = 5.248 Å, b = 5.248 Å, c = 5.248 Å
α = 139.83°, β = 139.83°, γ = 58.11°
Atoms (fractional coordinates):
Li  0.250  0.750  0.500
Li  0.750  0.250  0.500
Ta  0.000  0.000  0.000
Os  0.500  0.500  0.000

Calculated values
* ΔE_f: 0.424 eV/f.u.
* calculated total energy: -142.8 eV for the cell shown
* offset from the most stable computed form: 0.000 eV per atom
* M_tot: 0.000 μB per formula unit


Record 9
DFT (SCAN) results for a crystal of CoCuNi2 relaxed with PBEsol.

a = 4.269 Å, b = 4.269 Å, c = 2.451 Å
α = 90.00°, β = 90.00°, γ = 108.98°
Atoms (fractional coordinates):
Co  0.000  0.000  0.000
Cu  0.500  0.500  0.000
Ni  0.000  0.500  0.500
Ni  0.500  0.000  0.500

Calculated values
* ΔE_f: 0.262 eV/f.u.
* calculated total energy: -64.6 eV for the cell shown
* M_tot: 3.106 μB per formula unit


Record 10
DFT (SCAN) results for a crystal of LiCo relaxed with PBEsol.

a = 2.433 Å, b = 2.433 Å, c = 8.750 Å
α = 90.00°, β = 90.00°, γ = 112.59°
Atoms (fractional coordinates):
Li  0.250  0.750  0.851
Li  0.750  0.250  0.149
Co  0.250  0.750  0.390
Co  0.750  0.250  0.610

Calculated values
* ΔE_f: 0.289 eV/f.u.
* calculated total energy: -38.8 eV for the cell shown
* M_tot: 1.706 μB per formula unit


Record 11
DFT (SCAN) results for a crystal of ScNb2CuBi relaxed with PBEsol.

a = 4.687 Å, b = 4.687 Å, c = 4.789 Å
α = 90.00°, β = 90.00°, γ = 90.00°
Atoms (fractional coordinates):
Sc  0.000  0.000  0.000
Nb  0.000  0.500  0.500
Nb  0.500  0.000  0.500
Cu  0.000  0.000  0.500
Bi  0.500  0.500  0.000

Calculated values
* ΔE_f: 2.361 eV/f.u.
* calculated total energy: -171.9 eV for the cell shown
* M_tot: 0.000 μB per formula unit


Record 12
DFT (SCAN) results for a crystal of InIr4Au relaxed with PBEsol.

a = 5.184 Å, b = 5.184 Å, c = 5.184 Å
α = 60.00°, β = 60.00°, γ = 60.00°
Atoms (fractional coordinates):
In  0.000  0.000  0.000
Ir  0.375  0.375  0.375
Ir  0.375  0.375  0.875
Ir  0.375  0.875  0.375
Ir  0.875  0.375  0.375
Au  0.750  0.750  0.750

Calculated values
* ΔE_f: 2.642 eV/f.u.
* calculated total energy: -384.3 eV for the cell shown
* M_tot: 0.891 μB per formula unit


Record 13
DFT (SCAN) results for a crystal of Mo3PbC relaxed with PBEsol.

a = 4.941 Å, b = 4.941 Å, c = 4.941 Å
α = 90.00°, β = 90.00°, γ = 90.00°
Atoms (fractional coordinates):
Mo  0.000  0.000  0.500
Mo  0.000  0.500  0.000
Mo  0.500  0.000  0.000
Pb  0.000  0.000  0.000
C  0.500  0.500  0.500

Calculated values
* ΔE_f: 20.753 eV/f.u.
* calculated total energy: -169.8 eV for the cell shown
* M_tot: 0.006 μB per formula unit


Record 14
DFT (SCAN) results for a crystal of AlHgW2 relaxed with PBEsol.

a = 3.854 Å, b = 3.854 Å, c = 4.369 Å
α = 90.00°, β = 90.00°, γ = 90.00°
Atoms (fractional coordinates):
Al  0.000  0.000  0.000
Hg  0.500  0.500  0.000
W  0.000  0.500  0.500
W  0.500  0.000  0.500

Calculated values
* ΔE_f: 1.959 eV/f.u.
* calculated total energy: -213.3 eV for the cell shown
* offset from the most stable computed form: 0.048 eV per atom
* M_tot: 0.000 μB per formula unit


Record 15
DFT (SCAN) results for a crystal of LaAg2 relaxed with PBEsol.

a = 6.746 Å, b = 6.746 Å, c = 6.746 Å
α = 143.60°, β = 127.31°, γ = 65.73°
Atoms (fractional coordinates):
La  0.175  0.175  0.000
La  0.825  0.825  0.000
Ag  0.256  0.500  0.756
Ag  0.381  0.881  0.500
Ag  0.619  0.119  0.500
Ag  0.744  0.500  0.244

Calculated values
* ΔE_f: -0.724 eV/f.u.
* calculated total energy: -213.1 eV for the cell shown
* M_tot: 0.000 μB per formula unit


Record 16
DFT (SCAN) results for a crystal of Te4Pt3 relaxed with PBEsol.

a = 11.923 Å, b = 11.923 Å, c = 11.923 Å
α = 19.28°, β = 19.28°, γ = 19.28°
Atoms (fractional coordinates):
Te  0.055  0.055  0.055
Te  0.206  0.206  0.206
Te  0.794  0.794  0.794
Te  0.945  0.945  0.945
Pt  0.354  0.354  0.354
Pt  0.500  0.500  0.500
Pt  0.646  0.646  0.646

Calculated values
* calculated total energy: -363.2 eV for the cell shown
* M_tot: 0.000 μB per formula unit
* raw formation energy: -522 meV/atom


Record 17
DFT (SCAN) results for a crystal of Mg2ZrCu2 relaxed with PBEsol.

a = 6.483 Å, b = 6.483 Å, c = 6.483 Å
α = 145.83°, β = 145.83°, γ = 49.10°
Atoms (fractional coordinates):
Mg  0.250  0.750  0.500
Mg  0.750  0.250  0.500
Zr  0.000  0.000  0.000
Cu  0.403  0.403  0.000
Cu  0.597  0.597  0.000

Calculated values
* ΔE_f: -0.020 eV/f.u.
* calculated total energy: -71.1 eV for the cell shown
* M_tot: 0.000 μB per formula unit


Record 18
DFT (SCAN) results for a crystal of InNiIr relaxed with PBEsol.

a = 4.835 Å, b = 4.835 Å, c = 4.835 Å
α = 145.65°, β = 136.04°, γ = 56.95°
Atoms (fractional coordinates):
In  0.000  0.000  0.000
Ni  0.328  0.328  0.000
Ir  0.679  0.679  0.000

Calculated values
* ΔE_f: 0.334 eV/f.u.
* calculated total energy: -120.3 eV for the cell shown
* M_tot: 0.924 μB per formula unit


Record 19
DFT (SCAN) results for a crystal of CaAg5 relaxed with PBEsol.

a = 6.612 Å, b = 6.612 Å, c = 4.170 Å
α = 90.00°, β = 90.00°, γ = 142.84°
Atoms (fractional coordinates):
Ca  0.000  0.000  0.000
Ag  0.173  0.827  0.500
Ag  0.328  0.672  0.000
Ag  0.500  0.500  0.500
Ag  0.672  0.328  0.000
Ag  0.827  0.173  0.500

Calculated values
* ΔE_f: -0.543 eV/f.u.
* calculated total energy: -167.0 eV for the cell shown
* M_tot: 0.000 μB per formula unit


Record 20
DFT (SCAN) results for a crystal of Ca2ZnSe relaxed with PBEsol.

a = 7.896 Å, b = 7.896 Å, c = 7.896 Å
α = 29.63°, β = 29.63°, γ = 29.63°
Atoms (fractional coordinates):
Ca  0.243  0.243  0.243
Ca  0.757  0.757  0.757
Zn  0.000  0.000  0.000
Se  0.500  0.500  0.500

Calculated values
* calculated total energy: -57.1 eV for the cell shown
* offset from the most stable computed form: 0.000 eV per atom
* M_tot: 0.843 μB per formula unit
* raw formation energy: -1046 meV/atom


Record 21
DFT (SCAN) results for a crystal of MnTlBiPt2 relaxed with PBEsol.

a = 5.049 Å, b = 5.049 Å, c = 5.590 Å
α = 90.00°, β = 90.00°, γ = 90.00°
Atoms (fractional coordinates):
Mn  0.000  0.000  0.000
Tl  0.500  0.500  0.000
Bi  0.500  0.500  0.500
Pt  0.000  0.500  0.500
Pt  0.500  0.000  0.500

Calculated values
* ΔE_f: 5.036 eV/f.u.
* calculated total energy: -304.5 eV for the cell shown
* M_tot: 5.163 μB per formula unit


Record 22
DFT (SCAN) results for a crystal of Y2Ge2Au relaxed with PBEsol.

a = 6.963 Å, b = 6.963 Å, c = 4.247 Å
α = 90.00°, β = 90.00°, γ = 90.00°
Atoms (fractional coordinates):
Y  0.174  0.326  0.000
Y  0.326  0.826  0.000
Y  0.674  0.174  0.000
Y  0.826  0.674  0.000
Ge  0.129  0.629  0.500
Ge  0.371  0.129  0.500
Ge  0.629  0.871  0.500
Ge  0.871  0.371  0.500
Au  0.000  0.000  0.500
Au  0.500  0.500  0.500

Calculated values
* ΔE_f: -4.863 eV/f.u.
* calculated total energy: -335.8 eV for the cell shown
* M_tot: 0.000 μB per formula unit


Record 23
DFT (SCAN) results for a crystal of Sc5Pt relaxed with PBEsol.

a = 7.443 Å, b = 7.443 Å, c = 4.758 Å
α = 90.00°, β = 90.00°, γ = 151.62°
Atoms (fractional coordinates):
Sc  0.000  0.000  0.000
Sc  0.145  0.855  0.500
Sc  0.330  0.670  0.000
Sc  0.670  0.330  0.000
Sc  0.855  0.145  0.500
Pt  0.500  0.500  0.500

Calculated values
* ΔE_f: -2.676 eV/f.u.
* calculated total energy: -144.1 eV for the cell shown
* offset from the most stable computed form: 0.064 eV per atom
* M_tot: 1.081 μB per formula unit


Record 24
DFT (SCAN) results for a crystal of ScHgMo2 relaxed with PBEsol.

a = 5.401 Å, b = 5.401 Å, c = 5.401 Å
α = 142.44°, β = 133.02°, γ = 61.65°
Atoms (fractional coordinates):
Sc  0.000  0.000  0.000
Hg  0.500  0.500  0.000
Mo  0.247  0.747  0.500
Mo  0.753  0.253  0.500

Calculated values
* ΔE_f: 0.870 eV/f.u.
* calculated total energy: -151.3 eV for the cell shown
* M_tot: 0.000 μB per formula unit


Record 25
DFT (SCAN) results for a crystal of KCdIn relaxed with PBEsol.

a = 6.489 Å, b = 6.489 Å, c = 6.489 Å
α = 133.72°, β = 100.34°, γ = 97.44°
Atoms (fractional coordinates):
K  0.177  0.250  0.427
K  0.823  0.750  0.573
Cd  0.582  0.923  0.159
Cd  0.764  0.423  0.841
In  0.237  0.576  0.161
In  0.415  0.076  0.839

Calculated values
* ΔE_f: -0.630 eV/f.u.
* calculated total energy: -145.5 eV for the cell shown
* offset from the most stable computed form: 0.000 eV per atom
* M_tot: 0.000 μB per formula unit


Record 26
DFT (SCAN) results for a crystal of Be3C4 relaxed with PBEsol.

a = 3.772 Å, b = 3.772 Å, c = 3.772 Å
α = 90.00°, β = 90.00°, γ = 90.00°
Atoms (fractional coordinates):
Be  0.000  0.000  0.500
Be  0.000  0.500  0.000
Be  0.500  0.000  0.000
C  0.000  0.000  0.000
C  0.000  0.500  0.500
C  0.500  0.000  0.500
C  0.500  0.500  0.000

Calculated values
* ΔE_f: 13.398 eV/f.u.
* calculated total energy: -40.1 eV for the cell shown
* offset from the most stable computed form: 0.125 eV per atom
* M_tot: 0.000 μB per formula unit


Record 27
DFT (SCAN) results for a crystal of SrTaHg relaxed with PBEsol.

a = 4.838 Å, b = 4.838 Å, c = 4.838 Å
α = 60.00°, β = 60.00°, γ = 60.00°
Atoms (fractional coordinates):
Sr  0.000  0.000  0.000
Ta  0.750  0.750  0.750
Hg  0.500  0.500  0.500

Calculated values
* ΔE_f: 3.605 eV/f.u.
* calculated total energy: -153.4 eV for the cell shown
* M_tot: 1.014 μB per formula unit


Record 28
DFT (SCAN) results for a crystal of TcGe2PdRu relaxed with PBEsol.

a = 4.646 Å, b = 4.646 Å, c = 4.564 Å
α = 90.00°, β = 90.00°, γ = 90.00°
Atoms (fractional coordinates):
Tc  0.000  0.000  0.000
Ge  0.000  0.500  0.000
Ge  0.500  0.000  0.000
Pd  0.500  0.500  0.500
Ru  0.000  0.000  0.500

Calculated values
* ΔE_f: 4.807 eV/f.u.
* calculated total energy: -136.0 eV for the cell shown
* M_tot: 0.000 μB per formula unit


Record 29
DFT (SCAN) results for a crystal of TaAlOs2 relaxed with PBEsol.

a = 3.113 Å, b = 4.127 Å, c = 4.633 Å
α = 90.00°, β = 90.00°, γ = 90.00°
Atoms (fractional coordinates):
Ta  0.000  0.000  0.000
Al  0.500  0.000  0.500
Os  0.000  0.500  0.500
Os  0.500  0.500  0.000

Calculated values
* ΔE_f: -0.580 eV/f.u.
* calculated total energy: -218.7 eV for the cell shown
* offset from the most stable computed form: 0.639 eV per atom
* M_tot: 0.000 μB per formula unit